The following is a DFT calculation (PBE) of Np2NbO8 after structural relaxation.

## Properties
energy above the lowest structure with this stoichiometry: 378.2 meV/atom
formation energy without anion corrections: -2.269 eV per atom

Cell: 6.127 6.127 4.811 Å, 99.67 99.67 119.94°
Positions (direct):
Np 0.169 0.831 0.000
Np 0.831 0.169 0.000
Nb 0.500 0.500 0.500
O 0.115 0.404 0.875
O 0.159 0.159 0.282
O 0.321 0.679 0.500
O 0.404 0.115 0.875
O 0.596 0.885 0.125
O 0.679 0.321 0.500
O 0.841 0.841 0.718
O 0.885 0.596 0.125

The following is a DFT calculation (PBE) of LiFe after structural relaxation.

## Properties
formation enthalpy at 0 K: 1.962 eV/f.u.

Cell: 3.363 3.363 3.363 Å, 60.00 60.00 60.00°
Positions (direct):
Li 0.000 0.000 0.000
Fe 0.500 0.500 0.500

The following is a DFT calculation (PBE) of Tb4Pr2Th after structural relaxation.

## Properties
energy above the lowest structure with this stoichiometry: 680.6 meV/atom
formation enthalpy at 0 K: 4.984 eV/f.u.

Cell: 9.451 9.451 9.451 Å, 144.67 144.67 50.83°
Positions (direct):
Tb 0.000 0.500 0.500
Tb 0.180 0.180 0.000
Tb 0.500 0.000 0.500
Tb 0.820 0.820 0.000
Pr 0.383 0.383 0.000
Pr 0.617 0.617 0.000
Th 0.000 0.000 0.000

The following is a DFT calculation (PBE) of Y2TcRu after structural relaxation.

## Properties
formation enthalpy at 0 K: 0.815 eV/f.u.

Cell: 5.339 5.339 3.174 Å, 101.84 101.84 107.19°
Positions (direct):
Y 0.000 0.500 0.000
Y 0.500 0.000 0.000
Tc 0.000 0.000 0.500
Ru 0.500 0.500 0.500

The following is a DFT calculation (PBE) of Ti3VTe after structural relaxation.

## Properties
energy above the lowest structure with this stoichiometry: 513.4 meV/atom
formation energy without anion corrections: 0.491 eV per atom

Cell: 4.607 4.607 4.607 Å, 90.00 90.00 90.00°
Positions (direct):
Ti 0.000 0.000 0.500
Ti 0.000 0.500 0.000
Ti 0.500 0.000 0.000
V 0.000 0.000 0.000
Te 0.500 0.500 0.500

The following is a DFT calculation (PBE) of LuZnBi2 after structural relaxation.

## Properties
energy above the lowest structure with this stoichiometry: 406.4 meV/atom
formation enthalpy at 0 K: 0.719 eV/f.u.

Cell: 10.740 10.740 10.740 Å, 19.22 19.22 19.22°
Positions (direct):
Lu 0.000 0.000 0.000
Zn 0.500 0.500 0.500
Bi 0.100 0.100 0.100
Bi 0.900 0.900 0.900

The following is a DFT calculation (PBE) of ZnCoAg2 after structural relaxation.

## Properties
formation enthalpy at 0 K: 0.881 eV/f.u.

Cell: 3.933 3.933 3.939 Å, 90.00 90.00 90.00°
Positions (direct):
Zn 0.000 0.000 0.000
Co 0.500 0.500 0.000
Ag 0.000 0.500 0.500
Ag 0.500 0.000 0.500

The following is a DFT calculation (PBE) of CrIrSe2Br after structural relaxation.

## Properties
energy above the lowest structure with this stoichiometry: 0.0 meV/atom
formation energy without anion corrections: 0.619 eV per atom

Cell: 4.897 4.897 5.195 Å, 90.00 90.00 90.00°
Positions (direct):
Cr 0.000 0.000 0.000
Ir 0.500 0.500 0.500
Se 0.000 0.500 0.500
Se 0.500 0.000 0.500
Br 0.500 0.500 0.000

| no. | calculated total energy (eV/atom) |
| --- | --- |
| 1 | -9.14 |
| 2 | -4.21 |
| 3 | -4.36 |
| 4 | -7.94 |
| 5 | -6.70 |
| 6 | -3.21 |
| 7 | -3.30 |
| 8 | -4.81 |